Entry 1:
# Nd2SeBr

Nd2SeBr after structural relaxation (PBE, the Alexandria database).

The structure belongs to space group Cm (No. 8); the cell edges are 6.929, 4.000 and 9.658 Å and the angles 90.00°, 90.02° and 90.00°. The asymmetric unit holds Nd at (0.000, 0.000, 0.000), Nd at (0.166, 0.500, 0.526), Se at (0.167, 0.500, 0.818) and Br at (0.499, 0.500, 0.309).

The calculated total energy comes out at -19.3 eV per formula unit. The raw formation energy comes out at -1.149 eV/atom. Its relative energy among the computed polymorphs is 310 meV per atom.

---

Entry 2:
# NdSe6Br12

NdSe6Br12 after structural relaxation (PBE, the Alexandria database).

The structure belongs to space group R-3 (No. 148, hexagonal axes); the cell edges are 11.1561, 11.1561 and 20.2833 Å and the angles 90.00°, 90.00° and 120.00°. The asymmetric unit holds Nd at (0.0000, 0.0000, 0.0000), Se at (0.0301, 0.8825, 0.6459), Br at (0.0363, 0.2214, 0.2477) and Br at (0.0697, 0.2435, 0.0813).

The calculated total energy comes out at -52.1 eV per formula unit. The raw formation energy comes out at -0.334 eV/atom.

---

Entry 3:
# Nd3SeBr3

Nd3SeBr3 after structural relaxation (PBE, the Alexandria database).

The structure belongs to space group I4_132 (No. 214); the cell edges are 11.931, 11.931 and 11.931 Å and the angles 90.00°, 90.00° and 90.00°. The asymmetric unit holds Nd at (0.114, 0.364, 0.125), Se at (0.125, 0.125, 0.125) and Br at (0.118, 0.132, 0.625).

The calculated total energy comes out at -34.0 eV per formula unit. The raw formation energy comes out at -1.603 eV/atom.

---

Entry 4:
# Nd2Se2Br

Nd2Se2Br after structural relaxation (PBE, the Alexandria database).

The structure belongs to space group C2/m (No. 12); the cell edges are 13.408, 5.894 and 8.573 Å and the angles 90.00°, 109.08° and 90.00°. The asymmetric unit holds Nd at (0.004, 0.000, 0.242), Nd at (0.162, 0.500, 0.075), Se at (0.004, 0.500, 0.249), Se at (0.169, 0.000, 0.085) and Br at (0.161, 0.000, 0.589).

The calculated total energy comes out at -27.3 eV per formula unit. The raw formation energy comes out at -1.832 eV/atom. Its relative energy among the computed polymorphs is 0 meV per atom.

---

Entry 5:
# Nd6Si2SeBr3

Nd6Si2SeBr3 after structural relaxation (PBE, the Alexandria database).

The structure belongs to space group C2/m (No. 12); the cell edges are 7.386, 12.796 and 7.705 Å and the angles 90.00°, 108.62° and 90.00°. The asymmetric unit holds Nd at (0.227, 0.000, 0.209), Nd at (0.241, 0.329, 0.209), Si at (0.000, 0.167, 0.000), Se at (0.000, 0.500, 0.000), Br at (0.000, 0.000, 0.500) and Br at (0.000, 0.332, 0.500).

The calculated total energy comes out at -62.9 eV per formula unit. The raw formation energy comes out at -1.249 eV/atom.

---

Entry 6:
# Nd8Si3Se4Br

Nd8Si3Se4Br after structural relaxation (PBE, the Alexandria database).

The structure belongs to space group R-3m (No. 166, hexagonal axes); the cell edges are 8.5383, 8.5383 and 20.9195 Å and the angles 90.00°, 90.00° and 120.00°. The asymmetric unit holds Nd at (0.0000, 0.0000, 0.2465), Nd at (0.0152, 0.5076, 0.7522), Si at (0.0000, 0.5000, 0.5000), Se at (0.0000, 0.0000, 0.0000), Se at (0.0000, 0.5000, 0.0000) and Br at (0.0000, 0.0000, 0.5000).

The calculated total energy comes out at -92.4 eV per formula unit. The raw formation energy comes out at -1.400 eV/atom.

---

Entry 7:
# NdSmSeBr

NdSmSeBr after structural relaxation (PBE, the Alexandria database).

The structure belongs to space group F-43m (No. 216); the cell edges are 7.306, 7.306 and 7.306 Å and the angles 90.00°, 90.00° and 90.00°. The asymmetric unit holds Nd at (0.000, 0.000, 0.000), Sm at (0.000, 0.000, 0.500), Se at (0.250, 0.250, 0.250) and Br at (0.250, 0.250, 0.750).

The calculated total energy comes out at -20.0 eV per formula unit. The raw formation energy comes out at -1.329 eV/atom.

---

Entry 8:
# Nd8Te4Se3Br

Nd8Te4Se3Br after structural relaxation (PBE, the Alexandria database).

The structure belongs to space group R-3m (No. 166, hexagonal axes); the cell edges are 8.7857, 8.7857 and 21.2865 Å and the angles 90.00°, 90.00° and 120.00°. The asymmetric unit holds Nd at (0.0000, 0.0000, 0.2388), Nd at (0.0133, 0.5067, 0.7594), Te at (0.0000, 0.0000, 0.0000), Te at (0.0000, 0.5000, 0.0000), Se at (0.0000, 0.5000, 0.5000) and Br at (0.0000, 0.0000, 0.5000).

The calculated total energy comes out at -87.4 eV per formula unit. The raw formation energy comes out at -1.535 eV/atom.